A plane-wave DFT calculation with PBE was carried out for a relaxed structure of Th2TlCo.

Energy = -6.282 eV/atom
Formation energy = -0.20 eV/atom
Crystal system = monoclinic
Space-group type = C2/m, No. 12
E above lowest polymorph = 0.3 kJ per mole of atoms

Lattice parameters (Å, degrees): 3.9168 3.9168 8.7128 102.75 102.75 59.74
Last column: nearest neighbours and their distance in Å.
Element x y z (fractional)
Th 0.2276 0.2276 0.1831  3 Co 2.73-2.74
Th 0.7724 0.7724 0.8169  3 Co 2.73-2.74
Tl 0.0000 0.0000 0.5000  6 Th 3.49-3.50, 2 Tl 3.90
Co 0.5000 0.5000 0.0000  6 Th 2.73-2.74



A plane-wave DFT calculation with PBE was carried out for a relaxed structure of Th2TlCo.

Energy = -6.229 eV/atom
Formation energy = -0.15 eV/atom
Crystal system = tetragonal
Space-group type = P4/mmm, No. 123
E above lowest polymorph = 5.4 kJ per mole of atoms

Lattice parameters (Å, degrees): 3.3851 3.3851 8.6973 90.00 90.00 90.00
Last column: nearest neighbours and their distance in Å.
Element x y z (fractional)
Th 0.0000 0.0000 0.1992  4 Co 2.96
Th 0.0000 0.0000 0.8008  4 Co 2.96
Tl 0.5000 0.5000 0.5000  4 Tl 3.39, 8 Th 3.55
Co 0.5000 0.5000 0.0000  8 Th 2.96



A plane-wave DFT calculation with PBE was carried out for a relaxed structure of ThTlCo.

Energy = -5.682 eV/atom
Formation energy = -0.05 eV/atom
Crystal system = cubic
Space-group type = F-43m, No. 216

Lattice parameters (Å, degrees): 4.6655 4.6655 4.6655 60.00 60.00 60.00
Last column: nearest neighbours and their distance in Å.
Element x y z (fractional)
Th 0.0000 0.0000 0.0000  4 Co 2.86
Tl 0.5000 0.5000 0.5000  4 Co 2.86
Co 0.7500 0.7500 0.7500  4 Tl 2.86, 4 Th 2.86



A plane-wave DFT calculation with PBE was carried out for a relaxed structure of Th5Tl2Co2.

Energy = -6.244 eV/atom
Formation energy = -0.02 eV/atom
Crystal system = orthorhombic
Space-group type = Ima2, No. 46

Lattice parameters (Å, degrees): 12.0123 12.0123 12.0123 48.85 145.44 146.56
Last column: nearest neighbours and their distance in Å.
Element x y z (fractional)
Th 0.1591 0.9982 0.6610  1 Co 2.53
Th 0.2500 0.0023 0.2523  2 Co 2.48
Th 0.2500 0.4977 0.7477  2 Co 2.48
Th 0.3372 0.4982 0.3390  1 Co 2.53
Th 0.7353 0.1111 0.3463  1 Co 2.48
Th 0.7353 0.8890 0.1242  1 Co 2.48
Th 0.7500 0.5023 0.2523  2 Co 2.48
Th 0.7500 0.9977 0.7477  2 Co 2.48
Th 0.7648 0.3890 0.6537  1 Co 2.48
Th 0.7648 0.6111 0.8758  1 Co 2.48
Tl 0.2444 0.3576 0.1017  8 Th 3.19-3.52
Tl 0.2444 0.6426 0.3867  8 Th 3.19-3.52
Tl 0.2559 0.1426 0.8983  8 Th 3.19-3.52
Tl 0.2559 0.8576 0.6133  8 Th 3.19-3.52
Co 0.6945 0.5010 0.6935  3 Th 2.48-2.53
Co 0.7500 0.2500 0.5000  4 Th 2.48
Co 0.7500 0.7500 0.0000  4 Th 2.48
Co 0.8076 0.0010 0.3065  3 Th 2.48-2.53



A plane-wave DFT calculation with PBE was carried out for a relaxed structure of Th2TlZnCo.

Energy = -5.287 eV/atom
Formation energy = -0.17 eV/atom
Crystal system = monoclinic
Space-group type = P2_1/m, No. 11

Lattice parameters (Å, degrees): 8.0953 3.8000 8.6703 90.00 109.26 90.00
Last column: nearest neighbours and their distance in Å.
Element x y z (fractional)
Th 0.1215 0.2500 0.3929  2 Co 2.58
Th 0.2221 0.2500 0.0197  3 Co 2.67-2.92
Th 0.7779 0.7500 0.9803  3 Co 2.67-2.92
Th 0.8785 0.7500 0.6071  2 Co 2.58
Tl 0.3340 0.7500 0.7360  2 Zn 2.96
Tl 0.6660 0.2500 0.2640  2 Zn 2.96
Zn 0.4484 0.7500 0.3744  1 Co 2.45
Zn 0.5516 0.2500 0.6256  1 Co 2.45
Co 0.1407 0.7500 0.1986  1 Zn 2.45, 4 Th 2.58-2.67
Co 0.8593 0.2500 0.8014  1 Zn 2.45, 4 Th 2.58-2.67



A plane-wave DFT calculation with PBE was carried out for a relaxed structure of TmTh2Co9.

Energy = -7.124 eV/atom
Formation energy = -0.19 eV/atom
Crystal system = trigonal
Space-group type = R-3m, No. 166

Lattice parameters (Å, degrees): 8.8526 8.8526 8.8526 32.42 32.42 32.42
Last column: nearest neighbours and their distance in Å.
Element x y z (fractional)
Tm 0.0000 0.0000 0.0000  18 Co 2.85-3.16
Th 0.1366 0.1366 0.1366  9 Co 2.87-2.95
Th 0.8634 0.8634 0.8634  9 Co 2.87-2.95
Co 0.0806 0.5774 0.5774  7 Co 2.43-2.63
Co 0.3328 0.3328 0.3328  6 Co 2.43-2.44
Co 0.4226 0.4226 0.9194  7 Co 2.43-2.63
Co 0.4226 0.9194 0.4226  7 Co 2.43-2.63
Co 0.5000 0.5000 0.5000  6 Co 2.63
Co 0.5774 0.0806 0.5774  7 Co 2.43-2.63
Co 0.5774 0.5774 0.0806  7 Co 2.43-2.63
Co 0.6672 0.6672 0.6672  6 Co 2.43-2.44
Co 0.9194 0.4226 0.4226  7 Co 2.43-2.63



A plane-wave DFT calculation with PBE was carried out for a relaxed structure of TmTh4Co4.

Energy = -7.197 eV/atom
Formation energy = -0.24 eV/atom
Crystal system = tetragonal
Space-group type = P4_2/n, No. 86

Lattice parameters (Å, degrees): 8.5982 8.5982 5.5629 90.00 90.00 90.00
Last column: nearest neighbours and their distance in Å.
Element x y z (fractional)
Tm 0.2500 0.2500 0.2500  4 Co 2.74
Tm 0.7500 0.7500 0.7500  4 Co 2.74
Th 0.0553 0.6623 0.1862  5 Co 2.63-2.95
Th 0.1623 0.9447 0.6862  5 Co 2.63-2.95
Th 0.3377 0.5553 0.6862  5 Co 2.63-2.95
Th 0.4447 0.8377 0.1862  5 Co 2.63-2.95
Th 0.5553 0.1623 0.8138  5 Co 2.63-2.95
Th 0.6623 0.4447 0.3138  5 Co 2.63-2.95
Th 0.8377 0.0553 0.3138  5 Co 2.63-2.95
Th 0.9447 0.3377 0.8138  5 Co 2.63-2.95
Co 0.0394 0.6246 0.6763  5 Th 2.63-2.95, 1 Tm 2.74
Co 0.1246 0.9606 0.1763  5 Th 2.63-2.95, 1 Tm 2.74
Co 0.3754 0.5394 0.1763  5 Th 2.63-2.95, 1 Tm 2.74
Co 0.4606 0.8754 0.6763  5 Th 2.63-2.95, 1 Tm 2.74
Co 0.5394 0.1246 0.3237  5 Th 2.63-2.95, 1 Tm 2.74
Co 0.6246 0.4606 0.8237  5 Th 2.63-2.95, 1 Tm 2.74
Co 0.8754 0.0394 0.8237  5 Th 2.63-2.95, 1 Tm 2.74
Co 0.9606 0.3754 0.3237  5 Th 2.63-2.95, 1 Tm 2.74



A plane-wave DFT calculation with PBE was carried out for a relaxed structure of Tm2ThCo2.

Energy = -6.406 eV/atom
Formation energy = -0.29 eV/atom
Crystal system = orthorhombic
Space-group type = Immm, No. 71
E above lowest polymorph = 0.0 kJ per mole of atoms

Lattice parameters (Å, degrees): 5.9437 5.9437 5.9437 143.61 118.07 74.01
Last column: nearest neighbours and their distance in Å.
Element x y z (fractional)
Tm 0.1884 0.1884 0.0000  4 Co 2.84
Tm 0.8116 0.8116 0.0000  4 Co 2.84
Th 0.5000 0.0000 0.5000  4 Co 2.63
Co 0.1964 0.5000 0.6964  1 Co 2.40, 2 Th 2.63
Co 0.8036 0.5000 0.3036  1 Co 2.40, 2 Th 2.63



A plane-wave DFT calculation with PBE was carried out for a relaxed structure of Tm3Th2Co2.

Energy = -6.286 eV/atom
Formation energy = -0.22 eV/atom
Crystal system = monoclinic
Space-group type = C2/m, No. 12

Lattice parameters (Å, degrees): 6.1616 6.1616 8.8865 112.36 112.36 34.06
Last column: nearest neighbours and their distance in Å.
Element x y z (fractional)
Tm 0.0000 0.0000 0.0000  4 Co 2.95
Tm 0.1177 0.1177 0.4233  3 Co 2.74-3.00
Tm 0.8823 0.8823 0.5767  3 Co 2.74-3.00
Th 0.3245 0.3245 0.1881  2 Co 2.63
Th 0.6755 0.6755 0.8119  2 Co 2.63
Co 0.3189 0.3189 0.7624  2 Th 2.63, 2 Tm 2.74
Co 0.6811 0.6811 0.2376  2 Th 2.63, 2 Tm 2.74



A plane-wave DFT calculation with PBE was carried out for a relaxed structure of Tm2Th3Co2.

Energy = -6.701 eV/atom
Formation energy = -0.21 eV/atom
Crystal system = monoclinic
Space-group type = C2/m, No. 12

Lattice parameters (Å, degrees): 6.0730 6.0730 8.7662 109.02 109.02 35.23
Last column: nearest neighbours and their distance in Å.
Element x y z (fractional)
Tm 0.1712 0.1712 0.3030  2 Co 2.90
Tm 0.8288 0.8288 0.6970  2 Co 2.90
Th 0.3820 0.3820 0.0714  2 Co 2.75
Th 0.5000 0.5000 0.5000  4 Co 2.67
Th 0.6180 0.6180 0.9286  2 Co 2.75
Co 0.1366 0.1366 0.7043  4 Th 2.67-2.75, 2 Tm 2.90
Co 0.8634 0.8634 0.2957  4 Th 2.67-2.75, 2 Tm 2.90



A plane-wave DFT calculation with PBE was carried out for a relaxed structure of Tm3ThCo8.

Energy = -6.713 eV/atom
Formation energy = -0.24 eV/atom
Crystal system = trigonal
Space-group type = R3m, No. 160

Lattice parameters (Å, degrees): 8.7810 8.7810 8.7810 33.37 33.37 33.37
Last column: nearest neighbours and their distance in Å.
Element x y z (fractional)
Tm 0.0000 0.0000 0.0000  12 Co 2.95-3.05, 1 Tm 3.07, 3 Th 3.12
Tm 0.1234 0.1234 0.1234  12 Co 2.93-2.95, 4 Tm 3.07
Tm 0.4959 0.4959 0.4959  12 Co 2.90-2.97, 3 Tm 3.07, 1 Th 3.13
Th 0.6219 0.6219 0.6219  12 Co 2.96-3.02, 4 Tm 3.12-3.13
Co 0.0593 0.0593 0.5584  6 Co 2.52-2.57
Co 0.0593 0.5584 0.0593  6 Co 2.52-2.57
Co 0.0638 0.5603 0.5603  6 Co 2.50-2.54
Co 0.3108 0.3108 0.3108  6 Co 2.54-2.57
Co 0.5584 0.0593 0.0593  6 Co 2.52-2.57
Co 0.5603 0.0638 0.5603  6 Co 2.50-2.54
Co 0.5603 0.5603 0.0638  6 Co 2.50-2.54
Co 0.8099 0.8099 0.8099  6 Co 2.50-2.52



A plane-wave DFT calculation with PBE was carried out for a relaxed structure of TmTh6Co3.

Energy = -7.135 eV/atom
Formation energy = -0.10 eV/atom
Crystal system = orthorhombic
Space-group type = Cmc2_1, No. 36

Lattice parameters (Å, degrees): 8.5191 8.5191 7.1284 90.00 90.00 93.15
Last column: nearest neighbours and their distance in Å.
Element x y z (fractional)
Tm 0.2431 0.7569 0.5000  3 Co 2.85-3.06
Tm 0.7569 0.2431 0.0000  3 Co 2.85-3.06
Th 0.0251 0.4908 0.7967  1 Co 2.53
Th 0.1781 0.2013 0.0602  3 Co 2.85-2.92
Th 0.1891 0.8109 0.0208  3 Co 2.68-2.88
Th 0.2013 0.1781 0.5602  3 Co 2.85-2.92
Th 0.4710 0.5290 0.8863  4 Co 2.76-2.80
Th 0.4908 0.0251 0.2967  1 Co 2.53
Th 0.5092 0.9749 0.7967  1 Co 2.53
Th 0.5290 0.4710 0.3863  4 Co 2.76-2.80
Th 0.7987 0.8219 0.0602  3 Co 2.85-2.92
Th 0.8109 0.1891 0.5208  3 Co 2.68-2.88
Th 0.8219 0.7987 0.5602  3 Co 2.85-2.92
Th 0.9749 0.5092 0.2967  1 Co 2.53
Co 0.0434 0.9566 0.2999  5 Th 2.68-2.92, 1 Tm 2.85
Co 0.2570 0.5129 0.1853  3 Th 2.53-2.80, 1 Co 2.70
Co 0.4871 0.7430 0.1853  3 Th 2.53-2.80, 1 Co 2.70
Co 0.5129 0.2570 0.6853  3 Th 2.53-2.80, 1 Co 2.70
Co 0.7430 0.4871 0.6853  3 Th 2.53-2.80, 1 Co 2.70
Co 0.9566 0.0434 0.7999  5 Th 2.68-2.92, 1 Tm 2.85



A plane-wave DFT calculation with PBE was carried out for a relaxed structure of Tm2Th2Co3.

Energy = -6.631 eV/atom
Formation energy = -0.19 eV/atom
Crystal system = triclinic
Space-group type = P-1, No. 2

Lattice parameters (Å, degrees): 3.8779 6.6700 6.7040 80.83 89.97 73.12
Last column: nearest neighbours and their distance in Å.
Element x y z (fractional)
Tm 0.1299 0.2381 0.3657  4 Co 2.67-2.73
Tm 0.8701 0.7619 0.6343  4 Co 2.67-2.73
Th 0.3712 0.7564 0.1168  5 Co 2.69-2.78
Th 0.6288 0.2436 0.8832  5 Co 2.69-2.78
Co 0.0000 0.5000 0.0000  2 Tm 2.73, 4 Th 2.73-2.74
Co 0.2428 0.0164 0.7409  3 Tm 2.67-2.70, 3 Th 2.69-2.78
Co 0.7572 0.9836 0.2591  3 Tm 2.67-2.70, 3 Th 2.69-2.78



A plane-wave DFT calculation with PBE was carried out for a relaxed structure of Tm2ThCo2.

Energy = -6.393 eV/atom
Formation energy = -0.28 eV/atom
Crystal system = monoclinic
Space-group type = C2/c, No. 15
E above lowest polymorph = 1.2 kJ per mole of atoms

Lattice parameters (Å, degrees): 6.0642 6.0642 7.0906 99.31 99.31 58.72
Last column: nearest neighbours and their distance in Å.
Element x y z (fractional)
Tm 0.0506 0.2639 0.1537  4 Co 2.82-2.91
Tm 0.2639 0.0506 0.6537  4 Co 2.82-2.91
Tm 0.7361 0.9494 0.3463  4 Co 2.82-2.91
Tm 0.9494 0.7361 0.8463  4 Co 2.82-2.91
Th 0.4089 0.5911 0.2500  4 Co 2.62-2.67
Th 0.5911 0.4089 0.7500  4 Co 2.62-2.67
Co 0.1885 0.4992 0.4913  1 Co 2.30
Co 0.4992 0.1885 0.9913  1 Co 2.30
Co 0.5008 0.8115 0.0087  1 Co 2.30
Co 0.8115 0.5008 0.5087  1 Co 2.30



A plane-wave DFT calculation with PBE was carried out for a relaxed structure of TmTh3Co.

Energy = -6.734 eV/atom
Formation energy = 0.03 eV/atom
Crystal system = cubic
Space-group type = Pm-3m, No. 221

Lattice parameters (Å, degrees): 5.3317 5.3317 5.3317 90.00 90.00 90.00
Last column: nearest neighbours and their distance in Å.
Element x y z (fractional)
Tm 0.0000 0.0000 0.0000  12 Th 3.77
Th 0.0000 0.5000 0.5000  2 Co 2.67
Th 0.5000 0.0000 0.5000  2 Co 2.67
Th 0.5000 0.5000 0.0000  2 Co 2.67
Co 0.5000 0.5000 0.5000  6 Th 2.67



A plane-wave DFT calculation with PBE was carried out for a relaxed structure of ThUCo.

Energy = -8.595 eV/atom
Formation energy = 0.01 eV/atom
Crystal system = trigonal
Space-group type = R-3m, No. 166

Lattice parameters (Å, degrees): 10.8858 10.8858 10.8858 20.42 20.42 20.42
Last column: nearest neighbours and their distance in Å.
Element x y z (fractional)
Th 0.0603 0.0603 0.0603  6 Co 2.91-2.99
Th 0.9397 0.9397 0.9397  6 Co 2.91-2.99
U 0.1861 0.1861 0.1861  3 U 2.55
U 0.8139 0.8139 0.8139  3 U 2.55
Co 0.3353 0.3353 0.3353  3 Co 2.23
Co 0.6647 0.6647 0.6647  3 Co 2.23



A plane-wave DFT calculation with PBE was carried out for a relaxed structure of ThVCo4.

Energy = -7.492 eV/atom
Formation energy = 0.00 eV/atom
Crystal system = cubic
Space-group type = F-43m, No. 216

Lattice parameters (Å, degrees): 4.9351 4.9351 4.9351 60.00 60.00 60.00
Last column: nearest neighbours and their distance in Å.
Element x y z (fractional)
Th 0.0000 0.0000 0.0000  12 Co 2.90, 4 V 3.02
V 0.7500 0.7500 0.7500  12 Co 2.89, 4 Th 3.02
Co 0.3763 0.3763 0.3763  6 Co 2.44-2.49
Co 0.3763 0.3763 0.8711  6 Co 2.44-2.49
Co 0.3763 0.8711 0.3763  6 Co 2.44-2.49
Co 0.8711 0.3763 0.3763  6 Co 2.44-2.49



A plane-wave DFT calculation with PBE was carried out for a relaxed structure of ThVCo.

Energy = -7.965 eV/atom
Formation energy = -0.08 eV/atom
Crystal system = orthorhombic
Space-group type = Pmmn, No. 59

Lattice parameters (Å, degrees): 3.4383 4.0013 8.0503 90.00 90.00 90.00
Last column: nearest neighbours and their distance in Å.
Element x y z (fractional)
Th 0.2500 0.2500 0.1555  4 Co 2.84
Th 0.7500 0.7500 0.8445  4 Co 2.84
V 0.2500 0.7500 0.4907  2 Co 2.39, 4 V 2.64
V 0.7500 0.2500 0.5093  2 Co 2.39, 4 V 2.64
Co 0.2500 0.2500 0.7148  2 V 2.39
Co 0.7500 0.7500 0.2852  2 V 2.39



A plane-wave DFT calculation with PBE was carried out for a relaxed structure of Th2VCo.

Energy = -7.174 eV/atom
Formation energy = 0.59 eV/atom
Crystal system = trigonal
Space-group type = R-3m, No. 166

Lattice parameters (Å, degrees): 9.2718 9.2718 9.2718 22.81 22.81 22.81
Last column: nearest neighbours and their distance in Å.
Element x y z (fractional)
Th 0.1051 0.1051 0.1051  3 Co 2.70, 1 V 2.85
Th 0.8949 0.8949 0.8949  3 Co 2.70, 1 V 2.85
V 0.0000 0.0000 0.0000  2 Th 2.85
Co 0.5000 0.5000 0.5000  6 Th 2.70



A plane-wave DFT calculation with PBE was carried out for a relaxed structure of Y2ThCo.

Energy = -6.883 eV/atom
Formation energy = -0.02 eV/atom
Crystal system = tetragonal
Space-group type = P4/mmm, No. 123
E above lowest polymorph = 17.2 kJ per mole of atoms

Lattice parameters (Å, degrees): 3.4326 3.4326 8.7442 90.00 90.00 90.00
Last column: nearest neighbours and their distance in Å.
Element x y z (fractional)
Y 0.0000 0.0000 0.1855  4 Co 2.92, 1 Y 3.24
Y 0.0000 0.0000 0.8145  4 Co 2.92, 1 Y 3.24
Th 0.5000 0.5000 0.5000  4 Th 3.43, 8 Y 3.67
Co 0.5000 0.5000 0.0000  8 Y 2.92